Record 1
{"formula": "KUBiO6", "functional": "GGA-PBE", "state": "relaxed", "lattice_angstrom": [[5.727, 0.000, 0.000], [-2.864, 4.960, 0.000], [0.000, 0.000, 11.914]], "species": ["K", "K", "U", "U", "Bi", "Bi", "O", "O", "O", "O", "O", "O", "O", "O", "O", "O", "O", "O"], "frac_coords": [[0.000, 0.000, 0.000], [0.000, 0.000, 0.500], [0.667, 0.333, 0.250], [0.333, 0.667, 0.750], [0.333, 0.667, 0.250], [0.667, 0.333, 0.750], [0.624, 0.619, 0.152], [0.996, 0.376, 0.152], [0.376, 0.996, 0.652], [0.004, 0.624, 0.848], [0.381, 0.376, 0.348], [0.996, 0.619, 0.348], [0.619, 0.996, 0.848], [0.624, 0.004, 0.348], [0.004, 0.381, 0.652], [0.381, 0.004, 0.152], [0.619, 0.624, 0.652], [0.376, 0.381, 0.848]], "crystal_system": "trigonal", "formation_energy_uncorrected_ev_per_atom": -1.91, "e_tot_ev_per_atom": -7.0269}


Record 2
{"formula": "Pm4TeS3", "functional": "GGA-PBE", "state": "relaxed", "lattice_angstrom": [[-1.729, -2.640, 2.613], [3.808, 1.353, 0.675], [-10.123, 21.157, 14.680]], "species": ["S", "S", "S", "S", "S", "S", "Te", "Te", "Pm", "Pm", "Pm", "Pm", "Pm", "Pm", "Pm", "Pm"], "frac_coords": [[0.000, 0.000, 0.000], [0.000, 0.000, 0.500], [0.333, 0.667, 0.883], [0.667, 0.333, 0.117], [0.667, 0.333, 0.383], [0.333, 0.667, 0.617], [0.667, 0.333, 0.750], [0.333, 0.667, 0.250], [0.667, 0.333, 0.939], [0.333, 0.667, 0.061], [0.333, 0.667, 0.439], [0.667, 0.333, 0.561], [0.000, 0.000, 0.827], [0.000, 0.000, 0.173], [0.000, 0.000, 0.327], [0.000, 0.000, 0.673]], "crystal_system": "hexagonal", "formation_energy_uncorrected_ev_per_atom": -1.89, "e_tot_ev_per_atom": -6.2063}


Record 3
{"formula": "MgReSCl2", "functional": "GGA-PBE", "state": "relaxed", "lattice_angstrom": [[4.963, 0.000, 0.000], [0.000, 4.963, 0.000], [0.000, 0.000, 4.505]], "species": ["Re", "S", "Mg", "Cl", "Cl"], "frac_coords": [[0.000, 0.000, 0.000], [0.000, 0.000, 0.500], [0.500, 0.500, 0.500], [0.000, 0.500, 0.000], [0.500, 0.000, 0.000]], "crystal_system": "tetragonal", "formation_energy_uncorrected_ev_per_atom": 0.02, "e_tot_ev_per_atom": -4.3513}


Here are the calculated size of the total moment numbers, same order: 0.00 0.00 0.69 (μB/cell).